Entry 1:
# PBE TmNpGa5, optimized geometry
# Total magnetization = 3.97 μB/f.u.
# Electronic total energy = -4.686 eV per atom
data_TmNpGa5
_chemical_formula_sum 'Tm1 Np1 Ga5'
_cell_length_a 4.861
_cell_length_b 4.861
_cell_length_c 6.487
_cell_angle_alpha 90.00
_cell_angle_beta 90.00
_cell_angle_gamma 90.00
_space_group_name_H-M_alt 'P 4/m m m'
_space_group_IT_number 123
_space_group_name_Hall '-P 4 2'
loop_
_atom_site_label
_atom_site_type_symbol
_atom_site_fract_x
_atom_site_fract_y
_atom_site_fract_z
Tm1 Tm 0.000 0.000 0.000
Np1 Np 0.500 0.500 0.500
Ga1 Ga 0.000 0.500 0.255
Ga2 Ga 0.500 0.500 0.000

Entry 2:
# PBE Bi2HI2, optimized geometry
# Total magnetization = 0.00 μB/f.u.
# Electronic total energy = -2.653 eV per atom
# Energy above the most stable polymorph in this dataset = 0.0504 eV/atom
data_Bi2HI2
_chemical_formula_sum 'Bi4 H2 I4'
_cell_length_a 7.324
_cell_length_b 7.324
_cell_length_c 5.953
_cell_angle_alpha 90.00
_cell_angle_beta 90.00
_cell_angle_gamma 90.00
_space_group_name_H-M_alt 'P 4/m b m'
_space_group_IT_number 127
_space_group_name_Hall '-P 4 2ab'
loop_
_atom_site_label
_atom_site_type_symbol
_atom_site_fract_x
_atom_site_fract_y
_atom_site_fract_z
Bi1 Bi 0.245 0.255 0.000
H1 H 0.000 0.000 0.000
I1 I 0.185 0.315 0.500

Entry 3:
# PBE LiCdInBr4, optimized geometry
# Total magnetization = 0.00 μB/f.u.
# Formation energy from raw total energies = -0.951 eV/atom
# Electronic total energy = -2.702 eV per atom
data_LiCdInBr4
_chemical_formula_sum 'Li2 Cd2 In2 Br8'
_cell_length_a 6.829
_cell_length_b 8.037
_cell_length_c 8.710
_cell_angle_alpha 90.00
_cell_angle_beta 100.99
_cell_angle_gamma 90.00
_space_group_name_H-M_alt 'P 1 21/m 1'
_space_group_IT_number 11
loop_
_space_group_symop_operation_xyz
'x,y,z'
'-x,-y,-z'
'-x,y+1/2,-z'
'x,-y+1/2,z'
loop_
_atom_site_label
_atom_site_type_symbol
_atom_site_fract_x
_atom_site_fract_y
_atom_site_fract_z
Li1 Li 0.202 0.250 0.322
Cd1 Cd 0.285 0.750 0.665
In1 In 0.302 0.250 0.924
Br1 Br 0.029 0.250 0.558
Br2 Br 0.094 0.750 0.908
Br3 Br 0.441 0.012 0.267

Entry 4:
# PBE SrNiI3, optimized geometry
# Total magnetization = 1.00 μB/f.u.
# Formation energy from raw total energies = -0.097 eV/atom
# Electronic total energy = -2.519 eV per atom
# Energy above the most stable polymorph in this dataset = 0.6004 eV/atom
data_SrNiI3
_chemical_formula_sum 'Sr1 Ni1 I3'
_cell_length_a 6.360
_cell_length_b 6.360
_cell_length_c 6.360
_cell_angle_alpha 90.00
_cell_angle_beta 90.00
_cell_angle_gamma 90.00
_space_group_name_H-M_alt 'P m -3 m'
_space_group_IT_number 221
_space_group_name_Hall '-P 4 2 3'
loop_
_atom_site_label
_atom_site_type_symbol
_atom_site_fract_x
_atom_site_fract_y
_atom_site_fract_z
Sr1 Sr 0.000 0.000 0.000
Ni1 Ni 0.500 0.500 0.500
I1 I 0.000 0.000 0.500

Entry 5:
# PBE BaNaBi2Se4, optimized geometry
# Total magnetization = 0.00 μB/f.u.
# Formation energy from raw total energies = -0.841 eV/atom
# Electronic total energy = -3.959 eV per atom
data_BaNaBi2Se4
_chemical_formula_sum 'Ba4 Na4 Bi8 Se16'
_cell_length_a 4.698
_cell_length_b 14.123
_cell_length_c 14.510
_cell_angle_alpha 90.00
_cell_angle_beta 90.00
_cell_angle_gamma 90.00
_space_group_name_H-M_alt 'C m c m'
_space_group_IT_number 63
_space_group_name_Hall '-C 2c 2'
loop_
_atom_site_label
_atom_site_type_symbol
_atom_site_fract_x
_atom_site_fract_y
_atom_site_fract_z
Ba1 Ba 0.000 0.132 0.250
Na1 Na 0.000 0.131 0.750
Bi1 Bi 0.000 0.377 0.053
Se1 Se 0.000 0.000 0.000
Se2 Se 0.000 0.265 0.610
Se3 Se 0.000 0.469 0.250

Entry 6:
# PBE Rb3Pu2RhS6, optimized geometry
# Total magnetization = 10.00 μB/f.u.
# Formation energy from raw total energies = -1.201 eV/atom
# Electronic total energy = -6.508 eV per atom
data_Rb3Pu2RhS6
_chemical_formula_sum 'Rb6 Pu4 Rh2 S12'
_cell_length_a 6.834
_cell_length_b 11.851
_cell_length_c 7.993
_cell_angle_alpha 90.00
_cell_angle_beta 106.67
_cell_angle_gamma 90.00
_space_group_name_H-M_alt 'C 1 2/m 1'
_space_group_IT_number 12
loop_
_space_group_symop_operation_xyz
'x,y,z'
'-x,-y,-z'
'-x,y,-z'
'x,-y,z'
'x+1/2,y+1/2,z'
'-x+1/2,-y+1/2,-z'
'-x+1/2,y+1/2,-z'
'x+1/2,-y+1/2,z'
loop_
_atom_site_label
_atom_site_type_symbol
_atom_site_fract_x
_atom_site_fract_y
_atom_site_fract_z
Rb1 Rb 0.000 0.000 0.000
Rb2 Rb 0.000 0.330 0.000
Pu1 Pu 0.000 0.166 0.500
Rh1 Rh 0.000 0.500 0.500
S1 S 0.216 0.345 0.684
S2 S 0.248 0.500 0.315

Entry 7:
# PBE Zr2NiSb, optimized geometry
# Total magnetization = 0.00 μB/f.u.
# Formation energy from raw total energies = -0.241 eV/atom
# Electronic total energy = -6.991 eV per atom
data_Zr2NiSb
_chemical_formula_sum 'Zr8 Ni4 Sb4'
_cell_length_a 7.488
_cell_length_b 7.488
_cell_length_c 5.905
_cell_angle_alpha 90.00
_cell_angle_beta 90.00
_cell_angle_gamma 90.00
_space_group_name_H-M_alt 'I -4 2 d'
_space_group_IT_number 122
_space_group_name_Hall 'I -4 2bw'
loop_
_atom_site_label
_atom_site_type_symbol
_atom_site_fract_x
_atom_site_fract_y
_atom_site_fract_z
Zr1 Zr 0.209 0.750 0.125
Ni1 Ni 0.000 0.000 0.000
Sb1 Sb 0.000 0.000 0.500

Entry 8:
# PBE MgTa2Te, optimized geometry
# Total magnetization = 0.00 μB/f.u.
# Formation energy from raw total energies = 0.289 eV/atom
# Electronic total energy = -6.821 eV per atom
# Energy above the most stable polymorph in this dataset = 0.1747 eV/atom
data_MgTa2Te
_chemical_formula_sum 'Mg2 Ta4 Te2'
_cell_length_a 9.685
_cell_length_b 3.313
_cell_length_c 5.121
_cell_angle_alpha 90.00
_cell_angle_beta 104.41
_cell_angle_gamma 90.00
_space_group_name_H-M_alt 'C 1 m 1'
_space_group_IT_number 8
loop_
_space_group_symop_operation_xyz
'x,y,z'
'x,-y,z'
'x+1/2,y+1/2,z'
'x+1/2,-y+1/2,z'
loop_
_atom_site_label
_atom_site_type_symbol
_atom_site_fract_x
_atom_site_fract_y
_atom_site_fract_z
Mg1 Mg 0.000 0.000 0.000
Ta1 Ta 0.005 0.500 0.511
Ta2 Ta 0.243 0.000 0.750
Te1 Te 0.259 0.500 0.271

> electronic total energy of number 7 (Zr2NiSb)?

-6.991 eV per atom